No. 1
VASP calculation (PBE) on MgH3Pt after structural relaxation.

Computed properties:
The value obtained for the energy is -36.99 eV/cell. As for the symmetry: Pmma.

Cell: 2.860 6.181 5.564 Å, 90.00 90.00 90.03°
Atoms (fractional coordinates):
H: 0.000 0.282 0.048
H: 0.500 0.576 0.250
H: 0.500 0.424 0.750
H: 0.000 0.718 0.952
H: 0.000 0.718 0.548
H: 0.000 0.282 0.452
Pt: 0.000 0.253 0.750
Pt: 0.000 0.747 0.250
Mg: 0.500 0.861 0.750
Mg: 0.500 0.139 0.250



No. 2
VASP calculation (PBE) on MgH2Pt after structural relaxation.

Computed properties:
The value obtained for the energy is -15.53 eV/cell. As for the symmetry: R-3m.

Cell: 3.375 3.375 4.721 Å, 69.06 69.06 60.00°
Atoms (fractional coordinates):
H: 0.873 0.873 0.381
H: 0.127 0.127 0.619
Mg: 0.500 0.500 0.500
Pt: 0.000 0.000 0.000



No. 3
VASP calculation (PBE) on MgH2Pt after structural relaxation.

Computed properties:
The value obtained for the energy is -13.59 eV/cell. As for the symmetry: Fm-3m.

Cell: 3.838 3.838 3.838 Å, 60.00 60.00 60.00°
Atoms (fractional coordinates):
H: 0.250 0.250 0.250
H: 0.750 0.750 0.750
Mg: 0.000 0.000 0.000
Pt: 0.500 0.500 0.500



No. 4
VASP calculation (PBE) on Mg2HPt5 after structural relaxation.

Computed properties:
The value obtained for the energy is -40.65 eV/cell. As for the symmetry: I4mm.

Cell: 5.525 5.525 5.591 Å, 119.61 119.61 90.00°
Atoms (fractional coordinates):
Pt: 0.748 0.250 0.998
Pt: 0.748 0.748 0.998
Pt: 0.250 0.250 0.998
Pt: 0.745 0.745 0.490
Pt: 0.250 0.748 0.998
Mg: 0.250 0.750 0.499
Mg: 0.750 0.250 0.499
H: 0.036 0.036 0.072



No. 5
VASP calculation (PBE) on MgH3Pt2 after structural relaxation.

Computed properties:
The value obtained for the energy is -50.13 eV/cell. As for the symmetry: C2/m.

Cell: 3.669 9.399 6.081 Å, 140.18 90.00 101.26°
Atoms (fractional coordinates):
H: 0.666 0.332 0.231
H: 0.867 0.734 0.557
H: 0.578 0.156 0.598
H: 0.422 0.844 0.402
H: 0.334 0.668 0.769
H: 0.133 0.266 0.443
Pt: 0.614 0.228 0.388
Pt: 0.386 0.772 0.612
Pt: 0.297 0.593 0.956
Pt: 0.703 0.407 0.044
Mg: 0.932 0.865 0.071
Mg: 0.068 0.135 0.929



No. 6
VASP calculation (PBE) on Mg2H7Pt2 after structural relaxation.

Computed properties:
The value obtained for the energy is -39.36 eV/cell. As for the symmetry: C2/m.

Cell: 4.676 4.913 4.913 Å, 97.06 101.56 101.56°
Atoms (fractional coordinates):
H: 0.801 0.587 0.887
H: 0.801 0.887 0.587
H: 0.199 0.113 0.413
H: 0.199 0.413 0.113
H: 0.500 0.000 0.000
H: 0.164 0.677 0.677
H: 0.836 0.323 0.323
Pt: 0.467 0.270 0.270
Pt: 0.533 0.730 0.730
Mg: 0.000 0.274 0.726
Mg: 0.000 0.726 0.274